w.
Computed, not measured: an optimized crystal structure of Ca3Fe2Br2O5 at the GGA+U level of DFT.

Properties
- SG = Cmcm (63)
- V (A^3/atom) = 17.00
- ρ (kg/m3) = 3840

a = 13.550 Å, b = 13.550 Å, c = 5.556 Å
α = 90.00°, β = 90.00°, γ = 23.58°
Positions (direct):
Ca1 0.113 0.616 0.750
Ca2 0.234 0.766 0.750
Ca3 0.384 0.887 0.750
Ca4 0.616 0.113 0.250
Ca5 0.766 0.234 0.250
Ca6 0.887 0.384 0.250
Fe1 0.192 0.667 0.250
Fe2 0.333 0.808 0.250
Fe3 0.667 0.192 0.750
Fe4 0.808 0.333 0.750
Br1 0.044 0.580 0.250
Br2 0.420 0.956 0.250
Br3 0.580 0.044 0.750
Br4 0.956 0.420 0.750
O1 0.071 0.071 0.000
O2 0.071 0.071 0.500
O3 0.339 0.661 0.250
O4 0.410 0.410 0.000
O5 0.410 0.410 0.500
O6 0.590 0.590 0.000
O7 0.590 0.590 0.500
O8 0.661 0.339 0.750
O9 0.929 0.929 0.000
O10 0.929 0.929 0.500

***

x.
Computed, not measured: an optimized crystal structure of Ca3Fe2Br2O5 at the GGA+U level of DFT.

Properties
- SG = I4/mmm (139)
- V (A^3/atom) = 17.03
- ρ (kg/m3) = 3834

a = 13.557 Å, b = 13.557 Å, c = 13.557 Å
α = 163.36°, β = 163.36°, γ = 23.62°
Positions (direct):
Ca1 0.000 0.000 0.000
Ca2 0.135 0.135 0.000
Ca3 0.865 0.865 0.000
Fe1 0.427 0.427 0.000
Fe2 0.573 0.573 0.000
Br1 0.312 0.312 0.000
Br2 0.688 0.688 0.000
O1 0.082 0.582 0.500
O2 0.418 0.918 0.500
O3 0.500 0.500 0.000
O4 0.582 0.082 0.500
O5 0.918 0.418 0.500

***

w takes first place; second place is 8 meV per atom up.